(1)
Below is crystalline NdHo2Sc at its relaxed geometry, with properties calculated at the PBE-GGA level.

Lattice parameters (Å, degrees): 3.5274 3.5274 33.8561 90.00 90.00 120.00
Space group R3m (No. 160, hexagonal axes)
Inequivalent atoms, fractional coordinates:
Nd 0.0000 0.0000 0.0000
Ho 0.0000 0.0000 0.2460
Ho 0.0000 0.0000 0.4215
Sc 0.0000 0.0000 0.8342

DFT formation energy in eV per atom: 0.05
Density of states at the Fermi level in states/eV per cell: 17.18
E in eV/atom: -5.0172

(2)
Below is crystalline TeAs2Rh at its relaxed geometry, with properties calculated at the PBE-GGA level.

Lattice parameters (Å, degrees): 6.040 6.040 11.738 90.00 90.00 90.00
Space group I-42d (No. 122)
Inequivalent atoms, fractional coordinates:
Te 0.000 0.000 0.000
As 0.180 0.250 0.625
Rh 0.000 0.000 0.500

Density of states at the Fermi level in states/eV per cell: 10.16
Formation energy without anion corrections in eV per atom: 0.04
E in eV/atom: -4.9091

(3)
Below is crystalline PrScPb at its relaxed geometry, with properties calculated at the PBE-GGA level.

Lattice parameters (Å, degrees): 4.575 4.575 8.453 90.00 90.00 90.00
Space group P4/nmm (No. 129, origin choice 2)
Inequivalent atoms, fractional coordinates:
Pr 0.250 0.250 0.152
Sc 0.250 0.750 0.500
Pb 0.250 0.250 0.749

DFT formation energy in eV per atom: -0.46
Density of states at the Fermi level in states/eV per cell: 7.76
E in eV/atom: -5.4027

(4)
Below is crystalline NdDy2Rh at its relaxed geometry, with properties calculated at the PBE-GGA level.

Lattice parameters (Å, degrees): 3.506 3.506 8.754 90.00 90.00 90.00
Space group P4/mmm (No. 123)
Inequivalent atoms, fractional coordinates:
Nd 0.000 0.000 0.000
Dy 0.500 0.500 0.314
Rh 0.000 0.000 0.500

DFT formation energy in eV per atom: -0.42
Density of states at the Fermi level in states/eV per cell: 4.65
E in eV/atom: -5.7481

(5)
Below is crystalline Pm8PdAu2 at its relaxed geometry, with properties calculated at the PBE-GGA level.

Lattice parameters (Å, degrees): 8.591 13.978 6.066 90.00 112.67 90.00
Space group Cm (No. 8)
Inequivalent atoms, fractional coordinates:
Pm 0.000 0.000 0.000
Pm 0.097 0.377 0.831
Pm 0.147 0.123 0.584
Pm 0.236 0.500 0.393
Pm 0.373 0.201 0.199
Pd 0.363 0.000 0.025
Au 0.368 0.299 0.694

DFT formation energy in eV per atom: -0.30
Density of states at the Fermi level in states/eV per cell: 29.87
E in eV/atom: -4.8205

(6)
Below is crystalline Nd2FeSi2Ru at its relaxed geometry, with properties calculated at the PBE-GGA level.

Lattice parameters (Å, degrees): 4.143 4.143 6.972 90.00 90.00 90.00
Space group P-4m2 (No. 115)
Inequivalent atoms, fractional coordinates:
Nd 0.000 0.500 0.181
Fe 0.000 0.000 0.500
Si 0.000 0.500 0.671
Ru 0.500 0.500 0.500

Density of states at the Fermi level in states/eV per cell: 6.55
Formation energy without anion corrections in eV per atom: -0.66
E in eV/atom: -7.0101

(7)
Below is crystalline MgGa2Br at its relaxed geometry, with properties calculated at the PBE-GGA level.

Lattice parameters (Å, degrees): 7.314 7.314 7.314 90.00 90.00 90.00
Space group Fm-3m (No. 225)
Inequivalent atoms, fractional coordinates:
Mg 0.000 0.000 0.000
Ga 0.250 0.250 0.250
Br 0.000 0.000 0.500

Density of states at the Fermi level in states/eV per cell: 15.13
Formation energy without anion corrections in eV per atom: 0.08
E in eV/atom: -2.2481

(8)
Below is crystalline YHf2Pt2 at its relaxed geometry, with properties calculated at the PBE-GGA level.

Lattice parameters (Å, degrees): 7.774 7.774 3.427 90.00 90.00 90.00
Space group P4/mbm (No. 127)
Inequivalent atoms, fractional coordinates:
Y 0.000 0.000 0.000
Hf 0.162 0.338 0.500
Pt 0.131 0.631 0.000

DFT formation energy in eV per atom: -0.88
Density of states at the Fermi level in states/eV per cell: 5.81
E in eV/atom: -8.5722

Copy entry 3 word for word.
Below is crystalline PrScPb at its relaxed geometry, with properties calculated at the PBE-GGA level.

Lattice parameters (Å, degrees): 4.575 4.575 8.453 90.00 90.00 90.00
Space group P4/nmm (No. 129, origin choice 2)
Inequivalent atoms, fractional coordinates:
Pr 0.250 0.250 0.152
Sc 0.250 0.750 0.500
Pb 0.250 0.250 0.749

DFT formation energy in eV per atom: -0.46
Density of states at the Fermi level in states/eV per cell: 7.76
E in eV/atom: -5.4027

Question: Among the records above, which one has the highest density of states at the Fermi level?
Answer: Pm8PdAu2

Question: Which of these has the highest density of states at the Fermi level?
Answer: Pm8PdAu2

Question: Which of these has the highest E?
Answer: MgGa2Br